1.
# Na4CdHg4 GGA-PBE relaxed
data_Na4CdHg4
_cell_length_a 6.1275
_cell_length_b 6.1275
_cell_length_c 13.9263
_cell_angle_alpha 90.00
_cell_angle_beta 90.00
_cell_angle_gamma 90.00
_symmetry_space_group_name_H-M 'I -4 2 m'
_symmetry_Int_Tables_number 121
_symmetry_space_group_name_Hall 'I -4 2'
loop_
_atom_site_label
_atom_site_type_symbol
_atom_site_fract_x
_atom_site_fract_y
_atom_site_fract_z
Na1 Na 0.1957 0.1957 0.3952
Cd1 Cd 0.0000 0.0000 0.0000
Hg1 Hg 0.2127 0.2127 0.1749
# * ΔE_f: -0.10 eV per atom
# * total energy: -0.927 eV per atom
# * V: 29.0 Å³ per atom
# * theoretical density: 6.4 Mg/m³
# * ΔE to the lowest computed polymorph: 0.00 kJ per mole of atoms

---

2.
# Na5Cd3Hg12 GGA-PBE relaxed
data_Na5Cd3Hg12
_cell_length_a 17.7470
_cell_length_b 17.7470
_cell_length_c 17.7470
_cell_angle_alpha 90.00
_cell_angle_beta 90.00
_cell_angle_gamma 90.00
_symmetry_space_group_name_H-M 'I a -3 d'
_symmetry_Int_Tables_number 230
_symmetry_space_group_name_Hall '-I 4bd 2c 3'
loop_
_atom_site_label
_atom_site_type_symbol
_atom_site_fract_x
_atom_site_fract_y
_atom_site_fract_z
Na1 Na 0.0000 0.0000 0.0000
Na2 Na 0.0000 0.2500 0.3750
Cd1 Cd 0.0000 0.2500 0.1250
Hg1 Hg 0.0042 0.0786 0.6517
# * ΔE_f: -0.02 eV per atom
# * total energy: -0.664 eV per atom
# * V: 34.9 Å³ per atom
# * theoretical density: 6.8 Mg/m³

---

3.
# Na2Cd3Hg GGA-PBE relaxed
data_Na2Cd3Hg
_cell_length_a 3.2722
_cell_length_b 5.1132
_cell_length_c 8.8845
_cell_angle_alpha 90.00
_cell_angle_beta 90.00
_cell_angle_gamma 90.00
_symmetry_space_group_name_H-M 'P m m 2'
_symmetry_Int_Tables_number 25
loop_
_symmetry_equiv_pos_as_xyz
'x,y,z'
'-x,-y,z'
'-x,y,z'
'x,-y,z'
loop_
_atom_site_label
_atom_site_type_symbol
_atom_site_fract_x
_atom_site_fract_y
_atom_site_fract_z
Na1 Na 0.0000 0.0000 0.0000
Na2 Na 0.0000 0.5000 0.4909
Cd1 Cd 0.5000 0.0000 0.6640
Cd2 Cd 0.5000 0.5000 0.1583
Cd3 Cd 0.5000 0.5000 0.8276
Hg1 Hg 0.5000 0.0000 0.3317
# * ΔE_f: -0.15 eV per atom
# * total energy: -1.096 eV per atom
# * V: 24.8 Å³ per atom
# * theoretical density: 6.5 Mg/m³

---

4.
# NaCd4Hg12 GGA-PBE relaxed
data_NaCd4Hg12
_cell_length_a 10.1402
_cell_length_b 10.1402
_cell_length_c 10.1402
_cell_angle_alpha 90.00
_cell_angle_beta 90.00
_cell_angle_gamma 90.00
_symmetry_space_group_name_H-M 'I m -3'
_symmetry_Int_Tables_number 204
_symmetry_space_group_name_Hall '-I 2 2 3'
loop_
_atom_site_label
_atom_site_type_symbol
_atom_site_fract_x
_atom_site_fract_y
_atom_site_fract_z
Na1 Na 0.0000 0.0000 0.0000
Cd1 Cd 0.2500 0.2500 0.2500
Hg1 Hg 0.0000 0.1479 0.3507
# * ΔE_f: 0.03 eV per atom
# * total energy: -0.478 eV per atom
# * V: 30.7 Å³ per atom
# * theoretical density: 9.2 Mg/m³

---

5.
# NaCd5Hg2 GGA-PBE relaxed
data_NaCd5Hg2
_cell_length_a 6.4937
_cell_length_b 13.0517
_cell_length_c 4.4258
_cell_angle_alpha 90.00
_cell_angle_beta 90.00
_cell_angle_gamma 90.00
_symmetry_space_group_name_H-M 'P b a m'
_symmetry_Int_Tables_number 55
loop_
_symmetry_equiv_pos_as_xyz
'x,y,z'
'-x,-y,-z'
'-x,-y,z'
'x,y,-z'
'x+1/2,-y+1/2,-z'
'-x+1/2,y+1/2,z'
'-x+1/2,y+1/2,-z'
'x+1/2,-y+1/2,z'
loop_
_atom_site_label
_atom_site_type_symbol
_atom_site_fract_x
_atom_site_fract_y
_atom_site_fract_z
Na1 Na 0.0000 0.0000 0.0000
Cd1 Cd 0.0000 0.5000 0.0000
Cd2 Cd 0.0145 0.2546 0.0000
Cd3 Cd 0.2400 0.6283 0.5000
Hg1 Hg 0.2331 0.8780 0.5000
# * ΔE_f: -0.05 eV per atom
# * total energy: -0.867 eV per atom
# * V: 23.4 Å³ per atom
# * theoretical density: 8.7 Mg/m³
# * ΔE to the lowest computed polymorph: 0.82 kJ per mole of atoms

---

6.
# NaCd5Hg7 GGA-PBE relaxed
data_NaCd5Hg7
_cell_length_a 11.7325
_cell_length_b 10.7935
_cell_length_c 6.1247
_cell_angle_alpha 90.00
_cell_angle_beta 120.71
_cell_angle_gamma 90.00
_symmetry_space_group_name_H-M 'C 1 m 1'
_symmetry_Int_Tables_number 8
loop_
_symmetry_equiv_pos_as_xyz
'x,y,z'
'x,-y,z'
'x+1/2,y+1/2,z'
'x+1/2,-y+1/2,z'
loop_
_atom_site_label
_atom_site_type_symbol
_atom_site_fract_x
_atom_site_fract_y
_atom_site_fract_z
Na1 Na 0.0000 0.0000 0.0000
Cd1 Cd 0.2691 0.2638 0.5237
Cd2 Cd 0.2775 0.2365 0.0358
Cd3 Cd 0.2852 0.0000 0.7742
Hg1 Hg 0.0222 0.3150 0.0074
Hg2 Hg 0.0248 0.1607 0.5277
Hg3 Hg 0.1407 0.5000 0.5931
Hg4 Hg 0.2645 0.5000 0.1837
Hg5 Hg 0.3413 0.0000 0.3460
# * ΔE_f: -0.03 eV per atom
# * total energy: -0.643 eV per atom
# * V: 25.6 Å³ per atom
# * theoretical density: 9.9 Mg/m³

---

- What is the formula in the sixth record?
  NaCd5Hg7

---

What did the second record say?
# Na5Cd3Hg12 GGA-PBE relaxed
data_Na5Cd3Hg12
_cell_length_a 17.7470
_cell_length_b 17.7470
_cell_length_c 17.7470
_cell_angle_alpha 90.00
_cell_angle_beta 90.00
_cell_angle_gamma 90.00
_symmetry_space_group_name_H-M 'I a -3 d'
_symmetry_Int_Tables_number 230
_symmetry_space_group_name_Hall '-I 4bd 2c 3'
loop_
_atom_site_label
_atom_site_type_symbol
_atom_site_fract_x
_atom_site_fract_y
_atom_site_fract_z
Na1 Na 0.0000 0.0000 0.0000
Na2 Na 0.0000 0.2500 0.3750
Cd1 Cd 0.0000 0.2500 0.1250
Hg1 Hg 0.0042 0.0786 0.6517
# * ΔE_f: -0.02 eV per atom
# * total energy: -0.664 eV per atom
# * V: 34.9 Å³ per atom
# * theoretical density: 6.8 Mg/m³

---

- Look up the total energy of the sixth one.
  -0.643 eV per atom